## a
Computed, not measured: a geometry-optimized YHo2Co2 structure at the PBE level of DFT.

Results
Crystal system = monoclinic
SG = C2/c (15)
Magnetic moment = 0.001 Bohr magnetons per cell

Cell and atoms, written as extended XYZ:
```
10
Lattice="5.474 -2.870 0.000 5.474 2.870 0.000 -1.500 0.000 7.116" Properties=species:S:1:pos:R:3 pbc="T T T"
Y 4.349 2.354 5.337
Y 5.099 -2.354 1.779
Ho 3.179 0.663 2.479
Ho 2.430 -0.663 6.037
Ho 7.019 0.663 1.079
Ho 6.269 -0.663 4.637
Co 1.823 0.795 0.105
Co 1.074 -0.795 3.663
Co 8.375 0.795 3.453
Co 7.625 -0.795 7.011
```

## b
Computed, not measured: a geometry-optimized YHo2Co2 structure at the PBE level of DFT.

Results
Crystal system = monoclinic
SG = C2/m (12)
Magnetic moment = 0.000 Bohr magnetons per cell

Cell and atoms, written as extended XYZ:
```
5
Lattice="5.620 -1.866 0.000 5.620 1.866 0.000 -1.275 0.000 5.312" Properties=species:S:1:pos:R:3 pbc="T T T"
Y 0.000 0.000 0.000
Ho 3.418 0.000 2.224
Ho 6.548 0.000 3.088
Co 2.025 0.000 4.763
Co 7.940 0.000 0.550
```

Relative to the most stable structure, the computed energies are a 0; b 78, all in meV per atom.

## a
Computed, not measured: a geometry-optimized YHo3Co structure at the PBE level of DFT.

Results
Crystal system = monoclinic
SG = P2_1/c (14)
Magnetic moment = 0.000 Bohr magnetons per cell

Cell and atoms, written as extended XYZ:
```
20
Lattice="7.734 0.000 0.000 0.000 7.285 0.000 -2.873 0.000 9.486" Properties=species:S:1:pos:R:3 pbc="T T T"
Y 0.709 0.408 2.400
Y -0.727 3.235 7.143
Y 5.589 4.050 2.343
Y 4.152 6.878 7.086
Ho 0.579 5.097 0.315
Ho -0.857 5.830 5.057
Ho 1.145 3.691 3.647
Ho -0.291 7.236 8.390
Ho 1.492 0.932 5.764
Ho 2.928 2.711 1.021
Ho 1.933 4.575 8.465
Ho 3.369 6.353 3.722
Ho 5.153 0.049 1.096
Ho 3.716 3.594 5.839
Ho 5.719 1.455 4.428
Ho 4.282 2.188 9.171
Co 1.761 5.429 5.778
Co 3.197 5.499 1.035
Co 1.664 1.787 8.451
Co 3.101 1.856 3.708
```

## b
Computed, not measured: a geometry-optimized YHo3Co structure at the PBE level of DFT.

Results
Crystal system = cubic
SG = Pm-3m (221)
Magnetic moment = 0.002 Bohr magnetons per cell

Cell and atoms, written as extended XYZ:
```
5
Lattice="5.251 0.000 0.000 0.000 5.251 0.000 0.000 0.000 5.251" Properties=species:S:1:pos:R:3 pbc="T T T"
Y 0.000 0.000 0.000
Ho 0.000 2.625 2.625
Ho 2.625 0.000 2.625
Ho 2.625 2.625 0.000
Co 2.625 2.625 2.625
```

## c
Computed, not measured: a geometry-optimized YHo3Co structure at the PBE level of DFT.

Results
Crystal system = monoclinic
SG = C2/m (12)
Magnetic moment = 0.826 Bohr magnetons per cell

Cell and atoms, written as extended XYZ:
```
10
Lattice="5.797 -4.114 0.000 5.797 4.114 0.000 -5.645 0.000 5.799" Properties=species:S:1:pos:R:3 pbc="T T T"
Y -0.884 0.000 1.486
Y 6.833 0.000 4.313
Ho -1.579 1.667 4.613
Ho 1.532 0.000 3.820
Ho -1.579 -1.667 4.613
Ho 7.527 1.667 1.186
Ho 4.416 0.000 1.979
Ho 7.527 -1.667 1.186
Co 2.216 0.000 0.721
Co 3.732 0.000 5.077
```

Relative to the most stable structure, the computed energies are a 81; b 94; c 0, all in meV per atom.